# SrScCu2

A relaxed SrScCu2 crystal (PBEsol, Alexandria).

Structure (POSCAR):
```
SrScCu2
1.0
-2.2238 4.2951 -0.5070
-3.7550 0.4481 -3.0577
-4.4950 0.6319 1.7453
Cu Sc Sr
2 1 1
Direct
0.7500 0.7500 0.7500 Cu
0.2500 0.2500 0.2500 Cu
0.5000 0.5000 0.5000 Sc
0.0000 0.0000 0.0000 Sr
```

Results
space group = No. 225
total magnetic moment = 0.0 μB/f.u.
energy above the most stable polymorph in this dataset = 0.0 kJ/mol of formula units
formation enthalpy at 0 K = 113 meV/atom

# SrScCu2

A relaxed SrScCu2 crystal (PBEsol, Alexandria).

Structure (POSCAR):
```
SrScCu2
1.0
4.1484 0.0000 0.0000
0.0000 4.1484 0.0000
-2.0742 -2.0742 4.5982
Cu Sc Sr
2 1 1
Direct
0.0000 0.0000 0.0000 Cu
0.7500 0.2500 0.5000 Cu
0.5000 0.5000 0.0000 Sc
0.2500 0.7500 0.5000 Sr
```

Results
space group = No. 119
total magnetic moment = 0.0 μB/f.u.
energy above the most stable polymorph in this dataset = 75.4 kJ/mol of formula units
formation enthalpy at 0 K = 308 meV/atom

# ScTaCu2

A relaxed ScTaCu2 crystal (PBEsol, Alexandria).

Structure (POSCAR):
```
ScTaCu2
1.0
2.7778 0.0000 0.0000
0.0000 4.6910 -0.0184
-1.3889 -1.6404 4.6867
Cu Sc Ta
2 1 1
Direct
0.0212 0.9640 0.0424 Cu
0.7252 0.2799 0.4504 Cu
0.4869 0.4486 0.9739 Sc
0.2666 0.8075 0.5333 Ta
```

Results
space group = No. 8
total magnetic moment = 0.0 μB/f.u.
energy above the most stable polymorph in this dataset = 0.0 kJ/mol of formula units
formation enthalpy at 0 K = 69 meV/atom

# Sc3TaCu

A relaxed Sc3TaCu crystal (PBEsol, Alexandria).

Structure (POSCAR):
```
Sc3TaCu
1.0
-4.9926 0.2877 -0.2375
-0.2853 -4.9981 -0.0554
-0.2402 -0.0418 5.0006
Sc Cu Ta
3 1 1
Direct
0.0000 0.5000 0.0000 Sc
0.0000 0.0000 0.5000 Sc
0.5000 0.0000 0.0000 Sc
0.5000 0.5000 0.5000 Cu
0.0000 0.0000 0.0000 Ta
```

Results
space group = No. 221
total magnetic moment = 0.0 μB/f.u.
formation enthalpy at 0 K = 971 meV/atom

# ScTaCu2

A relaxed ScTaCu2 crystal (PBEsol, Alexandria).

Structure (POSCAR):
```
ScTaCu2
1.0
2.9567 0.0000 0.0000
1.4783 2.5605 0.0000
1.4783 0.8535 8.4456
Cu Sc Ta
2 1 1
Direct
0.0052 0.0052 0.9844 Cu
0.7426 0.7426 0.7723 Cu
0.4952 0.4952 0.5146 Sc
0.2571 0.2571 0.2288 Ta
```

Results
space group = No. 160
total magnetic moment = 0.0 μB/f.u.
energy above the most stable polymorph in this dataset = 68.9 kJ/mol of formula units
formation enthalpy at 0 K = 247 meV/atom

# ScCuTc2

A relaxed ScCuTc2 crystal (PBEsol, Alexandria).

Structure (POSCAR):
```
ScCuTc2
1.0
-0.1491 -3.0497 -0.8355
2.2816 0.8294 -3.4349
3.6631 -0.7932 2.2416
Cu Sc Tc
1 1 2
Direct
0.5000 0.0000 0.5000 Cu
0.0000 0.5000 0.5000 Sc
0.0000 0.0000 0.0000 Tc
0.5000 0.5000 0.0000 Tc
```

Results
space group = No. 47
total magnetic moment = 0.0 μB/f.u.
energy above the most stable polymorph in this dataset = 33.5 kJ/mol of formula units
formation enthalpy at 0 K = 8 meV/atom

# ScCuTc

A relaxed ScCuTc crystal (PBEsol, Alexandria).

Structure (POSCAR):
```
ScCuTc
1.0
2.7243 0.0411 0.0000
-0.0618 2.7240 0.0000
-1.3313 -1.3825 6.0340
Cu Sc Tc
1 1 1
Direct
0.0071 0.0071 0.0142 Cu
0.3369 0.3369 0.6738 Sc
0.6560 0.6560 0.3120 Tc
```

Results
space group = No. 42
total magnetic moment = 0.0 μB/f.u.
energy above the most stable polymorph in this dataset = 0.0 kJ/mol of formula units
formation enthalpy at 0 K = 125 meV/atom

# ScCuTc2

A relaxed ScCuTc2 crystal (PBEsol, Alexandria).

Structure (POSCAR):
```
ScCuTc2
1.0
-1.7990 -2.4329 -0.3044
0.5151 -0.0059 -2.9971
5.1060 -3.8863 0.8851
Cu Sc Tc
1 1 2
Direct
0.0000 0.0000 0.4781 Cu
0.5000 0.5000 0.7454 Sc
0.0000 0.0000 0.0331 Tc
0.5000 0.5000 0.2434 Tc
```

Results
space group = No. 99
total magnetic moment = 0.0 μB/f.u.
energy above the most stable polymorph in this dataset = 0.0 kJ/mol of formula units
formation enthalpy at 0 K = -79 meV/atom